Entry 1:
Ba2SrAuO, optimized geometry, DFT PBE-GGA; calculated total energy = -19.86 eV for the cell shown; formation energy (no corrections) = -1.218 eV/atom
1.0
5.564 0.000 0.000
0.000 5.564 0.000
0.000 0.000 4.990
Ba O Sr Au
2 1 1 1
Direct
0.500 0.000 0.000 Ba
0.000 0.500 0.000 Ba
0.000 0.000 0.000 O
0.000 0.000 0.500 Sr
0.500 0.500 0.500 Au

Entry 2:
Ti5H, optimized geometry, DFT PBE-GGA; calculated total energy = -40.91 eV for the cell shown
1.0
4.748 0.000 0.000
0.000 2.785 0.000
0.000 -1.392 6.929
H Ti
1 5
Direct
0.000 0.000 0.000 H
0.000 0.635 0.270 Ti
0.500 0.830 0.660 Ti
0.500 0.500 0.000 Ti
0.000 0.365 0.730 Ti
0.500 0.170 0.340 Ti

Entry 3:
Cs2Bi2Pt, optimized geometry, DFT PBE-GGA; calculated total energy = -17.11 eV for the cell shown; energy of formation = -0.320 eV per atom
1.0
6.910 2.201 2.045
-0.578 5.290 5.334
-1.407 -7.208 -1.684
Cs Pt Bi
2 1 2
Direct
0.299 0.799 0.500 Cs
0.701 0.201 0.500 Cs
0.000 0.000 0.000 Pt
0.789 0.500 0.289 Bi
0.211 0.500 0.711 Bi

Entry 4:
SiCl, optimized geometry, DFT PBE-GGA; calculated total energy = -24.50 eV for the cell shown; formation energy (no corrections) = 0.572 eV/atom; energy above the most stable polymorph in this dataset = 1.246 eV per atom
1.0
2.443 -4.231 0.000
2.443 4.231 0.000
0.000 0.000 9.927
Cl Si
4 4
Direct
0.333 0.667 0.750 Cl
0.000 0.000 0.750 Cl
0.000 0.000 0.250 Cl
0.667 0.333 0.250 Cl
0.333 0.667 0.366 Si
0.667 0.333 0.634 Si
0.667 0.333 0.866 Si
0.333 0.667 0.134 Si

Entry 5:
MnTlGe2I8, optimized geometry, DFT PBE-GGA; calculated total energy = -36.87 eV for the cell shown; formation energy (no corrections) = -0.308 eV/atom
1.0
7.759 0.543 -0.251
0.596 7.186 -0.338
-0.276 -0.419 9.764
I Ge Tl Mn
8 2 1 1
Direct
0.806 0.193 0.809 I
0.125 0.748 0.792 I
0.700 0.767 0.008 I
0.300 0.233 0.992 I
0.673 0.714 0.438 I
0.327 0.286 0.562 I
0.875 0.252 0.208 I
0.194 0.807 0.191 I
0.426 0.435 0.811 Ge
0.574 0.565 0.189 Ge
0.000 0.000 0.500 Tl
0.000 0.000 0.000 Mn

Entry 6:
Na8Pd2Au, optimized geometry, DFT PBE-GGA; calculated total energy = -25.18 eV for the cell shown; energy of formation = -0.087 eV per atom
1.0
-1.461 3.235 -3.476
3.117 -3.958 -4.993
-7.360 -3.945 2.973
Na Pd Au
8 2 1
Direct
0.667 0.936 0.334 Na
0.389 0.556 0.778 Na
0.808 0.730 0.615 Na
0.611 0.444 0.222 Na
0.977 0.238 0.954 Na
0.333 0.064 0.666 Na
0.023 0.762 0.046 Na
0.192 0.270 0.385 Na
0.183 0.682 0.366 Pd
0.817 0.318 0.634 Pd
0.500 0.000 0.000 Au

Entry 7:
TiInOsRh2, optimized geometry, DFT PBE-GGA; calculated total energy = -27.19 eV for the cell shown; energy of formation = 1.875 eV per atom
1.0
-2.798 -2.652 2.694
3.406 -0.015 3.523
-1.899 3.884 1.852
Ti Os Rh In
1 1 2 1
Direct
0.000 0.500 0.000 Ti
0.500 0.500 0.500 Os
0.500 0.000 0.000 Rh
0.000 0.000 0.500 Rh
0.000 0.000 0.000 In

Entry 8:
Li3ScU2S6, optimized geometry, DFT PBE-GGA; calculated total energy = -77.23 eV for the cell shown; formation energy (no corrections) = -1.485 eV/atom
1.0
-5.866 1.158 -2.807
4.778 -2.994 -3.440
-1.679 -4.922 4.056
S U Li Sc
6 2 3 1
Direct
0.916 0.594 0.747 S
0.761 0.761 0.250 S
0.406 0.084 0.253 S
0.084 0.406 0.253 S
0.594 0.916 0.747 S
0.239 0.239 0.750 S
0.667 0.333 0.000 U
0.333 0.667 0.000 U
0.838 0.162 0.500 Li
0.162 0.838 0.500 Li
0.500 0.500 0.500 Li
0.000 0.000 0.000 Sc

no.,D(E_F) (states/eV/cell)
1,4.56
2,8.23
3,5.88
4,0.57
5,2.36
6,3.95
7,4.44
8,7.66